1.
VASP calculation (PBE) on a geometry-optimized CsHIrCl structure.

Cell lengths 4.4924, 3.5536, 6.0528 Å; angles 90.00, 111.15, 90.00 degrees
Closest atoms and distances in Å follow each position.
Space group Pm (No. 6)
Asymmetric unit:
Cs1 0.0000 0.0000 0.0000 (multiplicity 1)  3 H 3.12-3.47
H1 0.3135 0.0000 0.6144 (multiplicity 1)  2 Ir 1.80
Ir1 0.2877 0.5000 0.5608 (multiplicity 1)  2 H 1.80
Cl1 0.7358 0.5000 0.4545 (multiplicity 1)  2 Ir 2.32-2.33

Computed properties:
E_tot (eV per atom): -3.870
Excess energy over the best structure of this formula in the dataset (eV per formula unit): 0.00

2.
VASP calculation (PBE) on a geometry-optimized Na2SrMnMo structure.

Cell lengths 5.7813, 5.7813, 5.2897 Å; angles 90.00, 90.00, 90.00 degrees
Closest atoms and distances in Å follow each position.
Space group P4/mmm (No. 123)
Asymmetric unit:
Na1 0.0000 0.5000 0.0000 (multiplicity 2)  2 Sr 2.89
Sr1 0.0000 0.0000 0.0000 (multiplicity 1)  2 Mn 2.64, 4 Na 2.89
Mn1 0.0000 0.0000 0.5000 (multiplicity 1)  2 Sr 2.64
Mo1 0.5000 0.5000 0.5000 (multiplicity 1)  8 Na 3.92, 4 Mn 4.09

Computed properties:
Energy of formation (kcal/mol of atoms): 45.167
E_tot (eV per atom): -2.905

3.
VASP calculation (PBE) on a geometry-optimized ZrCrSi2 structure.

Cell lengths 6.2291, 6.2291, 6.2291 Å; angles 90.00, 90.00, 90.00 degrees
Closest atoms and distances in Å follow each position.
Space group Fm-3m (No. 225)
Asymmetric unit:
Zr1 0.0000 0.0000 0.0000 (multiplicity 4)  8 Si 2.70
Cr1 0.0000 0.0000 0.5000 (multiplicity 4)  8 Si 2.70
Si1 0.2500 0.2500 0.2500 (multiplicity 8)  4 Cr 2.70, 4 Zr 2.70

Computed properties:
Energy relative to the elements, uncorrected (eV per atom): -0.05
E_tot (eV per atom): -7.301
Excess energy over the best structure of this formula in the dataset (eV per formula unit): 2.32

4.
VASP calculation (PBE) on a geometry-optimized CaAlSe2 structure.

Cell lengths 3.9604, 3.9604, 20.7285 Å; angles 90.00, 90.00, 120.00 degrees
Closest atoms and distances in Å follow each position.
Space group R-3m (No. 166, hexagonal axes)
Asymmetric unit:
Ca1 0.0000 0.0000 0.0000 (multiplicity 3)  6 Se 2.97
Al1 0.0000 0.0000 0.5000 (multiplicity 3)  6 Se 2.77
Se1 0.0000 0.0000 0.2421 (multiplicity 6)  3 Al 2.77, 3 Ca 2.97

Computed properties:
Energy relative to the elements, uncorrected (eV per atom): -1.07
E_tot (eV per atom): -4.247